[1]
Compound: LaPmNdTm
Source: Alexandria
Functional: GGA-PBE
Structure: optimized geometry

```
LaPmNdTm
1.0
-5.5063 0.8527 1.6023
-4.2878 -0.8017 -3.8192
-3.5854 -4.5200 0.5735
Nd Tm Pm La
1 1 1 1
direct
0.7500 0.7500 0.7500
0.5000 0.5000 0.5000
0.0000 0.0000 0.0000
0.2500 0.2500 0.2500
```

## Properties
theoretical density = 7.195 g/cm³
energy relative to the elements = 0.113 eV per atom
energy above the most stable polymorph in this dataset = 87.2 meV per atom

---

[2]
Compound: LaPmNd3Tm
Source: Alexandria
Functional: GGA-PBE
Structure: optimized geometry

```
LaPmNd3Tm
1.0
-4.7197 -1.4775 1.5850
1.4510 -7.5472 -2.7145
2.8348 2.0761 10.3765
Nd La Tm Pm
6 2 2 2
direct
0.7500 0.3751 0.5443
0.2500 0.6249 0.4557
0.2500 0.6230 0.7939
0.7500 0.3770 0.2061
0.2500 0.1311 0.9591
0.7500 0.8689 0.0409
0.7500 0.8787 0.7097
0.2500 0.1213 0.2903
0.7500 0.3801 0.8776
0.2500 0.6199 0.1224
0.2500 0.1282 0.6275
0.7500 0.8718 0.3725
```

## Properties
theoretical density = 7.081 g/cm³
energy relative to the elements = 0.022 eV per atom

---

[3]
Compound: LaPmNdTm3
Source: Alexandria
Functional: GGA-PBE
Structure: optimized geometry

```
LaPmNdTm3
1.0
-2.8351 3.2181 -4.0110
-3.2996 -1.6808 5.2822
3.5767 9.8373 5.3645
Tm La Nd Pm
6 2 2 2
direct
0.1677 0.3355 0.7500
0.6739 0.3478 0.0071
0.3261 0.6522 0.5071
0.3261 0.6522 0.9929
0.6739 0.3478 0.4929
0.8323 0.6645 0.2500
0.5091 0.0181 0.7500
0.4909 0.9819 0.2500
0.0000 0.0000 0.0000
0.0000 0.0000 0.5000
0.1775 0.3551 0.2500
0.8225 0.6449 0.7500
```

## Properties
theoretical density = 7.827 g/cm³
energy relative to the elements = 0.109 eV per atom

---

[4]
Compound: LaPm2Nd4Tm
Source: Alexandria
Functional: GGA-PBE
Structure: optimized geometry

```
LaPm2Nd4Tm
1.0
3.6734 0.0000 0.0000
0.0001 11.9970 -1.9786
0.0000 2.1156 5.9392
Nd La Tm Pm
4 1 1 2
direct
0.5000 0.7480 0.2506
0.0000 0.2493 0.2518
0.5000 0.2520 0.7494
0.0000 0.7507 0.7482
0.5000 0.5000 0.0000
0.0000 0.5000 0.5000
0.0000 0.0000 0.0000
0.5000 0.0000 0.5000
```

## Properties
theoretical density = 7.040 g/cm³
energy relative to the elements = 0.017 eV per atom

---

[5]
Compound: La3PmNdTm
Source: Alexandria
Functional: GGA-PBE
Structure: optimized geometry

```
La3PmNdTm
1.0
-1.5482 4.9372 -0.8161
-7.5321 -2.6413 -1.6901
2.0478 2.3854 10.5459
La Pm Nd Tm
6 2 2 2
direct
0.7500 0.3799 0.2088
0.2500 0.6201 0.7912
0.7500 0.8753 0.0441
0.2500 0.1247 0.9559
0.2500 0.6306 0.4592
0.7500 0.3694 0.5408
0.2500 0.6302 0.1275
0.7500 0.3698 0.8725
0.2500 0.1224 0.2942
0.7500 0.8776 0.7058
0.2500 0.1206 0.6214
0.7500 0.8794 0.3786
```

## Properties
theoretical density = 6.882 g/cm³
energy relative to the elements = 0.025 eV per atom

---

[6]
Compound: LaPm4NdTm2
Source: Alexandria
Functional: GGA-PBE
Structure: optimized geometry

```
LaPm4NdTm2
1.0
5.1396 0.0000 0.0000
0.0000 5.0083 1.0450
0.0001 2.9250 11.0998
Pm Tm Nd La
4 2 1 1
direct
0.5000 0.2489 0.7516
0.0000 0.2524 0.2475
0.5000 0.7511 0.2484
0.0000 0.7476 0.7525
0.5000 0.0000 0.5000
0.0000 0.0000 0.0000
0.5000 0.5000 0.0000
0.0000 0.5000 0.5000
```

## Properties
theoretical density = 7.386 g/cm³
energy relative to the elements = 0.022 eV per atom

---

[7]
Compound: La2PmNd2Tm
Source: Alexandria
Functional: GGA-PBE
Structure: optimized geometry

```
La2PmNd2Tm
1.0
-1.5540 2.9643 -4.7286
-0.3494 -6.1029 -3.7110
-9.6374 -0.9950 2.5435
La Nd Pm Tm
4 4 2 2
direct
0.5000 0.0076 0.0000
0.5000 0.5076 0.0000
0.0000 0.7575 0.8220
0.0000 0.2575 0.1780
0.0000 0.2575 0.8354
0.5000 0.7576 0.6676
0.5000 0.2576 0.3324
0.0000 0.7575 0.1646
0.5000 0.2577 0.6567
0.5000 0.7577 0.3433
0.0000 0.0076 0.5001
0.0000 0.5076 0.4999
```

## Properties
theoretical density = 7.044 g/cm³
energy relative to the elements = 0.052 eV per atom

---

[8]
Compound: La5PmNdTm2
Source: Alexandria
Functional: GGA-PBE
Structure: optimized geometry

```
La5PmNdTm2
1.0
5.7697 0.0000 0.0000
-2.8848 10.3862 0.0000
0.0000 0.0000 10.7468
Tm La Nd Pm
4 10 2 2
direct
0.1157 0.2313 0.3137
0.8859 0.7719 0.2375
0.1141 0.2281 0.7375
0.8843 0.7687 0.8137
0.4814 0.9628 0.7433
0.7208 0.4417 0.8167
0.5186 0.0372 0.2433
0.7048 0.4096 0.2054
0.3855 0.7711 0.0233
0.2952 0.5904 0.7054
0.2792 0.5583 0.3167
0.0158 0.0316 0.0171
0.9842 0.9684 0.5171
0.6145 0.2289 0.5233
0.4105 0.8210 0.4537
0.5895 0.1790 0.9537
0.1974 0.3948 0.0134
0.8026 0.6052 0.5134
```

## Properties
theoretical density = 6.816 g/cm³
energy relative to the elements = 0.140 eV per atom

---

[9]
Compound: LaPm2Nd2Tm
Source: Alexandria
Functional: GGA-PBE
Structure: optimized geometry

```
LaPm2Nd2Tm
1.0
5.7723 0.0000 0.0000
0.0000 7.1133 0.0000
0.0000 0.0000 10.0021
Pm Nd Tm La
4 4 2 2
direct
0.5000 0.2575 0.3274
0.5000 0.7575 0.6726
0.0000 0.7576 0.1617
0.0000 0.2576 0.8383
0.5000 0.0075 0.9998
0.0000 0.7574 0.8220
0.5000 0.5075 0.0002
0.0000 0.2574 0.1780
0.0000 0.0076 0.5001
0.0000 0.5076 0.4999
0.5000 0.2579 0.6546
0.5000 0.7579 0.3454
```

## Properties
theoretical density = 7.167 g/cm³
energy relative to the elements = 0.058 eV per atom

---

[10]
Compound: La5PmNd2Tm
Source: Alexandria
Functional: GGA-PBE
Structure: optimized geometry

```
La5PmNd2Tm
1.0
-3.6183 0.0365 -8.2978
-0.0967 -9.0520 0.0024
-5.3813 4.5859 7.3046
Nd Tm La Pm
4 2 10 2
direct
0.8842 0.6158 0.0000
0.1158 0.3842 0.0000
0.3842 0.8842 0.0000
0.6158 0.1158 0.0000
0.2500 0.7500 0.5000
0.7500 0.2500 0.5000
0.0000 0.0000 0.0000
0.3541 0.8541 0.2827
0.5000 0.5000 0.0000
0.4286 0.3541 0.2827
0.5714 0.6459 0.7173
0.9286 0.4286 0.2827
0.1459 0.0714 0.7173
0.8541 0.9286 0.2827
0.0714 0.5714 0.7173
0.6459 0.1459 0.7173
0.7500 0.7500 0.5000
0.2500 0.2500 0.5000
```

## Properties
theoretical density = 6.655 g/cm³
energy relative to the elements = 0.268 eV per atom

---

[11]
Compound: LaPm5Nd2Tm
Source: Alexandria
Functional: GGA-PBE
Structure: optimized geometry

```
LaPm5Nd2Tm
1.0
8.9219 0.0000 0.0000
0.0000 8.9219 0.0000
-4.4610 -4.4610 7.9077
Pm Tm Nd La
10 2 4 2
direct
0.4288 0.3462 0.2750
0.1538 0.0712 0.7250
0.3462 0.8462 0.2750
0.6538 0.1538 0.7250
0.5000 0.5000 0.0000
0.5712 0.6538 0.7250
0.8462 0.9288 0.2750
0.0000 0.0000 0.0000
0.0712 0.5712 0.7250
0.9288 0.4288 0.2750
0.2500 0.7500 0.5000
0.7500 0.2500 0.5000
0.3827 0.8827 0.0000
0.8827 0.6173 0.0000
0.1173 0.3827 0.0000
0.6173 0.1173 0.0000
0.2500 0.2500 0.5000
0.7500 0.7500 0.5000
```

## Properties
theoretical density = 6.971 g/cm³
energy relative to the elements = 0.267 eV per atom

---

[12]
Compound: LaPmNd5Tm2
Source: Alexandria
Functional: GGA-PBE
Structure: optimized geometry

```
LaPmNd5Tm2
1.0
5.7317 0.0000 0.0000
-2.8658 10.2179 0.0000
0.0000 0.0000 10.6986
Tm La Pm Nd
4 2 2 10
direct
0.8833 0.7666 0.8228
0.8876 0.7753 0.2340
0.1124 0.2247 0.7340
0.1167 0.2334 0.3228
0.4163 0.8327 0.4467
0.5837 0.1673 0.9467
0.1996 0.3992 0.0115
0.8004 0.6008 0.5115
0.5232 0.0464 0.2400
0.4768 0.9536 0.7400
0.2807 0.5615 0.3123
0.7048 0.4095 0.2047
0.9836 0.9672 0.5250
0.6114 0.2227 0.5270
0.7193 0.4385 0.8123
0.0164 0.0328 0.0250
0.2952 0.5905 0.7047
0.3886 0.7773 0.0270
```

## Properties
theoretical density = 7.118 g/cm³
energy relative to the elements = 0.149 eV per atom

---

Among the records above, which one has the lowest energy relative to the elements? LaPm2Nd4Tm

---

What is the theoretical density in the third record? 7.827 g/cm³